An optimized crystal structure of RbNa2SrSn, computed with GGA-PBE.

CIF file:
```
data_RbNa2SrSn
_cell_length_a 6.232
_cell_length_b 6.232
_cell_length_c 6.478
_cell_angle_alpha 90.00
_cell_angle_beta 90.00
_cell_angle_gamma 90.00
_space_group_name_H-M_alt 'P 1'
_space_group_IT_number 1
_space_group_name_Hall 'P 1'
loop_
_atom_site_label
_atom_site_type_symbol
_atom_site_fract_x
_atom_site_fract_y
_atom_site_fract_z
_atom_site_occupancy
Rb1 Rb 0.500 0.500 0.500 1
Na1 Na 0.000 0.500 0.000 1
Na2 Na 0.500 0.000 0.000 1
Sn1 Sn 0.000 0.000 0.000 1
Sr1 Sr 0.000 0.000 0.500 1
```

Results
space group = P4/mmm, No. 123
formation enthalpy at 0 K = -0.07 eV/atom
magnetic moment = 0.0 μB/cell
DFT total energy = -1.931 eV per atom